PbCl5 after structural relaxation, computed with PBE.

Mass density   2.9 g/cm³
Energy relative to the elements, uncorrected   -0.495 eV per atom

a b c (Å): 4.066 5.375 9.972
angles (deg): 90.00 95.00 90.00
Space group Pm (No. 6)
Unique sites:
1 Pb 0.000 0.000 0.000 x1
2 Cl 0.118 0.500 0.591 x1
3 Cl 0.463 0.000 0.812 x1
4 Cl 0.535 0.000 0.188 x1
5 Cl 0.902 0.500 0.405 x1
6 Cl 0.998 0.500 0.000 x1